TbNdMg2Pb2 | PBE | optimized geometry

abc: 4.5036 4.5036 16.1795
angles: 90.00 90.00 90.00
With the nearest neighbours (Å) after each atom.
Space group I4mm (No. 107)
Symmetry-distinct sites (fractional):
Tb 0.0000 0.0000 0.0000 (multiplicity 2)  5 Pb 3.22-3.23, 4 Mg 3.47
Nd 0.0000 0.0000 0.3286 (multiplicity 2)  5 Pb 3.22, 4 Mg 3.50
Mg 0.0000 0.5000 0.1629 (multiplicity 4)  4 Pb 3.14-3.16, 4 Mg 3.18, 2 Tb 3.47, 2 Nd 3.50
Pb 0.0000 0.0000 0.5277 (multiplicity 2)  4 Mg 3.14, 4 Tb 3.22, 1 Nd 3.22
Pb 0.0000 0.0000 0.8003 (multiplicity 2)  4 Mg 3.16, 4 Nd 3.22, 1 Tb 3.23

Results
The calculation puts the total energy at -45.2 eV per cell.

Sm3Ge6Pt4 | PBE | optimized geometry

abc: 26.2809 4.4168 8.8735
angles: 90.00 90.00 90.00
With the nearest neighbours (Å) after each atom.
Space group Pnma (No. 62)
Symmetry-distinct sites (fractional):
Sm 0.0926 0.2500 0.1164 (multiplicity 4)  9 Ge 3.24-3.43, 7 Pt 3.33-3.59
Sm 0.0928 0.2500 0.6337 (multiplicity 4)  9 Ge 3.28-3.45, 6 Pt 3.31-3.37
Sm 0.2203 0.2500 0.8751 (multiplicity 4)  8 Ge 3.07-3.13, 6 Pt 3.23-3.31
Ge 0.0015 0.2500 0.3785 (multiplicity 4)  4 Pt 2.52-2.54
Ge 0.0026 0.7500 0.1274 (multiplicity 4)  4 Pt 2.52-2.54
Ge 0.1385 0.7500 0.8737 (multiplicity 4)  3 Pt 2.48-2.56
Ge 0.1424 0.7500 0.3731 (multiplicity 4)  3 Pt 2.45-2.52
Ge 0.2151 0.2500 0.2274 (multiplicity 4)  3 Pt 2.51-2.72, 1 Ge 2.62
Ge 0.2155 0.2500 0.5225 (multiplicity 4)  3 Pt 2.50-2.70, 1 Ge 2.62
Pt 0.0441 0.7500 0.8716 (multiplicity 4)  5 Ge 2.48-2.53
Pt 0.0491 0.7500 0.3780 (multiplicity 4)  5 Ge 2.45-2.54
Pt 0.1873 0.7500 0.1217 (multiplicity 4)  5 Ge 2.51-2.70
Pt 0.1874 0.7500 0.6240 (multiplicity 4)  5 Ge 2.50-2.72

Results
The calculation puts the total energy at -311.9 eV per cell.